[1]
This record from the Alexandria database describes a relaxed structure of Ca2NpBeO6. The functional is GGA-PBE.

Output
Uncorrected formation energy: -2.81 eV per atom
Energy: -0.5773 Ry per atom

Lattice parameters (Å, degrees): 6.757 6.683 9.343 90.00 132.03 90.00
Fractional coordinates of all 20 atoms:
1 Ca 0.183 0.048 0.251
2 Ca 0.183 0.452 0.751
3 Ca 0.817 0.548 0.249
4 Ca 0.817 0.952 0.749
5 Np 0.500 0.000 0.000
6 Np 0.500 0.500 0.500
7 Be 0.000 0.000 0.500
8 Be 0.000 0.500 0.000
9 O 0.101 0.066 0.686
10 O 0.101 0.434 0.186
11 O 0.257 0.515 0.550
12 O 0.257 0.985 0.050
13 O 0.472 0.708 0.960
14 O 0.472 0.792 0.460
15 O 0.528 0.208 0.540
16 O 0.528 0.292 0.040
17 O 0.743 0.015 0.950
18 O 0.743 0.485 0.450
19 O 0.899 0.566 0.814
20 O 0.899 0.934 0.314

---

[2]
This record from the Alexandria database describes a relaxed structure of Hg2TeBr. The functional is GGA-PBE.

Output
Uncorrected formation energy: -0.09 eV per atom
Energy: -0.1060 Ry per atom
DOS at the Fermi energy: 1.220 states/eV/f.u.
E above lowest polymorph: 0.168 eV per atom

Lattice parameters (Å, degrees): 4.727 4.727 7.597 105.12 105.12 58.93
Fractional coordinates of all 4 atoms:
1 Hg 0.000 0.000 0.000
2 Hg 0.089 0.089 0.665
3 Te 0.372 0.372 0.117
4 Br 0.713 0.713 0.473

---

[3]
This record from the Alexandria database describes a relaxed structure of Er6Ga2Pt. The functional is GGA-PBE.

Output
DFT formation energy: -569 meV/atom
Energy: -0.3642 Ry per atom
DOS at the Fermi energy: 6.841 states/eV/f.u.
E above lowest polymorph: 0.000 eV per atom

Lattice parameters (Å, degrees): 8.361 8.361 8.361 110.35 109.85 108.22
Fractional coordinates of all 18 atoms:
1 Er 0.041 0.828 0.213
2 Er 0.259 0.326 0.585
3 Er 0.259 0.569 0.310
4 Er 0.259 0.674 0.933
5 Er 0.259 0.948 0.690
6 Er 0.385 0.172 0.213
7 Er 0.615 0.828 0.787
8 Er 0.741 0.052 0.310
9 Er 0.741 0.326 0.067
10 Er 0.741 0.431 0.690
11 Er 0.741 0.674 0.415
12 Er 0.959 0.172 0.787
13 Ga 0.000 0.142 0.142
14 Ga 0.000 0.858 0.858
15 Ga 0.373 0.373 0.000
16 Ga 0.627 0.627 0.000
17 Pt 0.000 0.500 0.500
18 Pt 0.500 0.000 0.500

---

[4]
This record from the Alexandria database describes a relaxed structure of Nb2MoIr2. The functional is GGA-PBE.

Output
DFT formation energy: -184 meV/atom
Energy: -0.7293 Ry per atom
DOS at the Fermi energy: 5.000 states/eV/f.u.

Lattice parameters (Å, degrees): 7.571 7.571 2.946 90.00 90.00 90.00
Fractional coordinates of all 10 atoms:
1 Nb 0.168 0.332 0.000
2 Nb 0.332 0.832 0.000
3 Nb 0.668 0.168 0.000
4 Nb 0.832 0.668 0.000
5 Mo 0.000 0.000 0.500
6 Mo 0.500 0.500 0.500
7 Ir 0.131 0.631 0.500
8 Ir 0.369 0.131 0.500
9 Ir 0.631 0.869 0.500
10 Ir 0.869 0.369 0.500

---

[5]
This record from the Alexandria database describes a relaxed structure of LaSiO3F. The functional is GGA-PBE.

Output
Uncorrected formation energy: -3.36 eV per atom
Energy: -0.5791 Ry per atom
DOS at the Fermi energy: 0.000 states/eV/f.u.

Lattice parameters (Å, degrees): 7.127 7.127 10.978 90.00 90.00 120.00
Fractional coordinates of all 36 atoms:
1 La 0.000 0.642 0.000
2 La 0.000 0.642 0.500
3 La 0.358 0.358 0.000
4 La 0.358 0.358 0.500
5 La 0.642 0.000 0.000
6 La 0.642 0.000 0.500
7 Si 0.049 0.273 0.250
8 Si 0.224 0.951 0.250
9 Si 0.273 0.049 0.750
10 Si 0.727 0.776 0.250
11 Si 0.776 0.727 0.750
12 Si 0.951 0.224 0.750
13 O 0.043 0.806 0.750
14 O 0.080 0.397 0.123
15 O 0.080 0.397 0.377
16 O 0.194 0.237 0.750
17 O 0.237 0.194 0.250
18 O 0.317 0.920 0.123
19 O 0.317 0.920 0.377
20 O 0.397 0.080 0.623
21 O 0.397 0.080 0.877
22 O 0.603 0.683 0.123
23 O 0.603 0.683 0.377
24 O 0.683 0.603 0.623
25 O 0.683 0.603 0.877
26 O 0.763 0.957 0.750
27 O 0.806 0.043 0.250
28 O 0.920 0.317 0.623
29 O 0.920 0.317 0.877
30 O 0.957 0.763 0.250
31 F 0.000 0.000 0.000
32 F 0.000 0.000 0.500
33 F 0.333 0.667 0.575
34 F 0.333 0.667 0.925
35 F 0.667 0.333 0.075
36 F 0.667 0.333 0.425

---

[6]
This record from the Alexandria database describes a relaxed structure of Pm4Sb3F2. The functional is GGA-PBE.

Output
Uncorrected formation energy: -1.84 eV per atom
Energy: -0.4222 Ry per atom
DOS at the Fermi energy: 2.596 states/eV/f.u.

Lattice parameters (Å, degrees): 8.500 8.500 6.835 95.62 95.62 75.60
Fractional coordinates of all 18 atoms:
1 Pm 0.073 0.721 0.966
2 Pm 0.260 0.406 0.400
3 Pm 0.279 0.927 0.534
4 Pm 0.406 0.260 0.900
5 Pm 0.594 0.740 0.100
6 Pm 0.721 0.073 0.466
7 Pm 0.740 0.594 0.600
8 Pm 0.927 0.279 0.034
9 Sb 0.006 0.256 0.565
10 Sb 0.256 0.006 0.065
11 Sb 0.398 0.602 0.750
12 Sb 0.602 0.398 0.250
13 Sb 0.744 0.994 0.935
14 Sb 0.994 0.744 0.435
15 F 0.159 0.434 0.061
16 F 0.434 0.159 0.561
17 F 0.566 0.841 0.439
18 F 0.841 0.566 0.939

---

[7]
This record from the Alexandria database describes a relaxed structure of LuTe2Ir. The functional is GGA-PBE.

Output
Uncorrected formation energy: -0.16 eV per atom
Energy: -0.3730 Ry per atom
DOS at the Fermi energy: 0.796 states/eV/f.u.

Lattice parameters (Å, degrees): 9.052 9.052 9.052 25.43 25.43 25.43
Fractional coordinates of all 4 atoms:
1 Lu 0.000 0.000 0.000
2 Te 0.115 0.115 0.115
3 Te 0.885 0.885 0.885
4 Ir 0.500 0.500 0.500

---

[8]
This record from the Alexandria database describes a relaxed structure of Ba2ZnBi4. The functional is GGA-PBE.

Output
DFT formation energy: -292 meV/atom
Energy: -0.2382 Ry per atom
DOS at the Fermi energy: 5.293 states/eV/f.u.

Lattice parameters (Å, degrees): 9.558 9.558 9.558 146.11 146.11 48.68
Fractional coordinates of all 7 atoms:
1 Ba 0.140 0.140 0.000
2 Ba 0.860 0.860 0.000
3 Zn 0.500 0.500 0.000
4 Bi 0.000 0.500 0.500
5 Bi 0.344 0.344 0.000
6 Bi 0.500 0.000 0.500
7 Bi 0.656 0.656 0.000